The following is a DFT calculation (GGA-PBE) of a relaxed structure of SrScRh2.

It has space group P4/mmm (No. 123), with a = 4.854 Å, b = 4.854 Å, c = 3.356 Å, α = 90.00°, β = 90.00° and γ = 90.00°. Symmetry generates all atoms from Sr at (0.000, 0.000, 0.000), Sc at (0.500, 0.500, 0.000) and Rh at (0.000, 0.500, 0.500).

The calculation puts the total magnetization at 0.00 μB/cell. The electronic total energy comes out at -6.057 eV/atom. The formation energy is -378 meV/atom. The calculation puts the excess energy over the best structure of this formula in the dataset at 171 meV/atom.

***

The following is a DFT calculation (GGA-PBE) of a relaxed structure of TaB4W.

It has space group Pmmm (No. 47), with a = 3.068 Å, b = 3.342 Å, c = 5.312 Å, α = 90.00°, β = 90.00° and γ = 90.00°. Symmetry generates all atoms from Ta at (0.000, 0.000, 0.000), B at (0.000, 0.500, 0.336), B at (0.500, 0.500, 0.170) and W at (0.500, 0.000, 0.500).

The calculation puts the total magnetization at 0.00 μB/cell. The electronic total energy comes out at -8.949 eV/atom. The formation energy is -363 meV/atom.

***

The following is a DFT calculation (GGA-PBE) of a relaxed structure of Tb3Tm4Al.

It has space group P4/mmm (No. 123), with a = 3.503 Å, b = 3.503 Å, c = 18.904 Å, α = 90.00°, β = 90.00° and γ = 90.00°. Symmetry generates all atoms from Tb at (0.000, 0.000, 0.000), Tb at (0.000, 0.000, 0.266), Tm at (0.500, 0.500, 0.133), Tm at (0.500, 0.500, 0.400) and Al at (0.000, 0.000, 0.500).

The calculation puts the total magnetization at 0.00 μB/cell. The electronic total energy comes out at -4.528 eV/atom. The formation energy is -88 meV/atom.

***

The following is a DFT calculation (GGA-PBE) of a relaxed structure of KHg2Au2.

It has space group I4/mmm (No. 139), with a = 5.164 Å, b = 5.164 Å, c = 10.458 Å, α = 90.00°, β = 90.00° and γ = 90.00°. Symmetry generates all atoms from K at (0.000, 0.000, 0.000), Hg at (0.000, 0.000, 0.363) and Au at (0.000, 0.500, 0.250).

The calculation puts the total magnetization at 0.00 μB/cell. The electronic total energy comes out at -1.798 eV/atom. The formation energy is -147 meV/atom. The calculation puts the excess energy over the best structure of this formula in the dataset at 51 meV/atom.

***

In Mg/m³, the density values for the records above are, in order, 7.1 12.4 8.4 9.9.